Entry from Alexandria: SnSbTe after structural relaxation (PBE).

abc: 4.1711 4.1711 26.1424
angles: 90.00 90.00 120.00
Fractional coordinates of all 12 atoms:
Sn 0.3333 0.6667 0.4513
Sn 0.6667 0.3333 0.5487
Sn 0.6667 0.3333 0.7032
Sn 0.3333 0.6667 0.2968
Sb 0.3333 0.6667 0.6147
Sb 0.3333 0.6667 0.1322
Sb 0.6667 0.3333 0.8678
Sb 0.6667 0.3333 0.3853
Te 0.3333 0.6667 0.9378
Te 0.6667 0.3333 0.0622
Te 0.6667 0.3333 0.2211
Te 0.3333 0.6667 0.7789

Formation energy from raw total energies ... 0.010 eV per atom
Total energy ... -44.9 eV for the cell shown
Energy above the most stable polymorph in this dataset ... 0.028 eV/atom